[1]
CsNiF3 | PBE+U | optimized geometry

Summary:
DFT total energy, eV per atom: -4.20
DOS(E_F), states/eV/f.u.: 0.0

abc: 5.435 8.408 8.408
angles: 89.32 88.82 88.82
Fractional positions:
Cs: 0.313 0.574 0.806
Cs: 0.187 0.194 0.426
Cs: 0.687 0.426 0.194
Cs: 0.813 0.806 0.574
Ni: 0.750 0.934 0.066
Ni: 0.250 0.066 0.934
Ni: 0.750 0.208 0.792
Ni: 0.250 0.792 0.208
F: 0.087 0.849 0.978
F: 0.413 0.022 0.151
F: 0.913 0.151 0.022
F: 0.587 0.978 0.849
F: 0.429 0.268 0.912
F: 0.071 0.088 0.732
F: 0.571 0.732 0.088
F: 0.929 0.912 0.268
F: 0.843 0.433 0.788
F: 0.657 0.212 0.567
F: 0.157 0.567 0.212
F: 0.343 0.788 0.433

=====

[2]
CsNiF5 | PBE+U | optimized geometry

Summary:
DFT total energy, eV per atom: -3.60

abc: 5.180 6.269 6.269
angles: 64.28 65.60 65.60
Fractional positions:
Cs: 0.979 0.000 0.000
Ni: 0.576 0.500 0.500
F: 0.755 0.308 0.308
F: 0.922 0.500 0.500
F: 0.370 0.692 0.692
F: 0.464 0.249 0.751
F: 0.464 0.751 0.249

=====

[3]
Cs2NiF6 | PBE+U | optimized geometry

Summary:
DFT total energy, eV per atom: -3.90
DOS(E_F), states/eV/f.u.: 0.0

abc: 6.384 6.384 6.384
angles: 60.00 60.00 60.00
Fractional positions:
Cs: 0.750 0.750 0.750
Cs: 0.250 0.250 0.250
Ni: 0.000 0.000 0.000
F: 0.800 0.200 0.800
F: 0.200 0.200 0.800
F: 0.800 0.800 0.200
F: 0.200 0.800 0.200
F: 0.200 0.800 0.800
F: 0.800 0.200 0.200

=====

[4]
CsNiF6 | PBE+U | optimized geometry

Summary:
DFT total energy, eV per atom: -3.42
DOS(E_F), states/eV/f.u.: 8.7

abc: 5.725 5.725 5.980
angles: 62.51 62.51 61.07
Fractional positions:
Cs: 0.500 0.500 0.500
Ni: 0.000 0.000 0.000
F: 0.077 0.641 0.203
F: 0.641 0.077 0.203
F: 0.359 0.923 0.797
F: 0.923 0.359 0.797
F: 0.081 0.081 0.206
F: 0.919 0.919 0.794

=====

[5]
CsNiF3 | PBE+U | optimized geometry

Summary:
DFT total energy, eV per atom: -4.26
DOS(E_F), states/eV/f.u.: 0.0

abc: 6.325 6.325 5.279
angles: 90.00 90.00 120.00
Fractional positions:
Cs: 0.333 0.667 0.750
Cs: 0.667 0.333 0.250
Ni: 0.000 0.000 0.000
Ni: 0.000 0.000 0.500
F: 0.717 0.858 0.250
F: 0.858 0.717 0.750
F: 0.142 0.283 0.250
F: 0.858 0.142 0.750
F: 0.283 0.142 0.750
F: 0.142 0.858 0.250

=====

[6]
CsNiF3 | PBE+U | optimized geometry

Summary:
DFT total energy, eV per atom: -4.16
DOS(E_F), states/eV/f.u.: 0.0

abc: 7.423 7.423 5.423
angles: 90.00 90.00 120.00
Fractional positions:
Cs: 0.667 0.333 0.250
Cs: 0.333 0.667 0.750
Ni: 0.000 0.000 0.000
Ni: 0.000 0.000 0.500
F: 0.881 0.762 0.250
F: 0.119 0.238 0.750
F: 0.881 0.119 0.250
F: 0.119 0.881 0.750
F: 0.238 0.119 0.250
F: 0.762 0.881 0.750

=====

[7]
Cs3NiF7 | PBE+U | optimized geometry

Summary:
DFT total energy, eV per atom: -3.92

abc: 8.457 8.457 6.252
angles: 90.00 90.00 90.00
Fractional positions:
Cs: 0.193 0.693 0.500
Cs: 0.693 0.807 0.500
Cs: 0.307 0.193 0.500
Cs: 0.807 0.307 0.500
Cs: 0.500 0.500 0.000
Cs: 0.000 0.000 0.000
Ni: 0.000 0.500 0.000
Ni: 0.500 0.000 0.000
F: 0.394 0.894 0.794
F: 0.606 0.106 0.794
F: 0.106 0.394 0.794
F: 0.894 0.606 0.794
F: 0.394 0.894 0.206
F: 0.894 0.606 0.206
F: 0.106 0.394 0.206
F: 0.606 0.106 0.206
F: 0.000 0.000 0.500
F: 0.500 0.500 0.500
F: 0.849 0.349 0.000
F: 0.349 0.151 0.000
F: 0.651 0.849 0.000
F: 0.151 0.651 0.000

=====

[8]
Cs3Ni2F9 | PBE+U | optimized geometry

Summary:
DFT total energy, eV per atom: -3.92
DOS(E_F), states/eV/f.u.: 5.7

abc: 6.100 6.100 7.870
angles: 90.00 90.00 120.00
Fractional positions:
Cs: 0.667 0.333 0.637
Cs: 0.000 0.000 0.000
Cs: 0.333 0.667 0.363
Ni: 0.667 0.333 0.139
Ni: 0.333 0.667 0.861
F: 0.189 0.811 0.722
F: 0.189 0.379 0.722
F: 0.500 0.500 0.000
F: 0.811 0.621 0.278
F: 0.379 0.189 0.278
F: 0.621 0.811 0.722
F: 0.811 0.189 0.278
F: 0.000 0.500 0.000
F: 0.500 0.000 0.000

=====

[9]
Cs3NiF | PBE+U | optimized geometry

Summary:
DFT total energy, eV per atom: -1.53
DOS(E_F), states/eV/f.u.: 0.2

abc: 6.260 6.260 6.260
angles: 90.00 90.00 90.00
Fractional positions:
Cs: 0.000 0.500 0.000
Cs: 0.000 0.000 0.500
Cs: 0.500 0.000 0.000
Ni: 0.000 0.000 0.000
F: 0.500 0.500 0.500

=====

[10]
CsNi2F6 | PBE+U | optimized geometry

Summary:
DFT total energy, eV per atom: -4.09

abc: 7.309 7.309 7.309
angles: 120.25 119.11 90.55
Fractional positions:
Cs: 0.374 0.624 0.750
Cs: 0.626 0.376 0.250
Ni: 0.500 0.000 0.500
Ni: 0.000 0.000 0.000
Ni: 0.000 0.000 0.500
Ni: 0.000 0.500 0.000
F: 0.670 0.310 0.733
F: 0.077 0.310 0.140
F: 0.330 0.063 0.640
F: 0.330 0.690 0.267
F: 0.312 0.062 0.250
F: 0.922 0.672 0.250
F: 0.670 0.937 0.360
F: 0.923 0.063 0.233
F: 0.923 0.690 0.860
F: 0.078 0.328 0.750
F: 0.077 0.937 0.767
F: 0.688 0.938 0.750

=====

[11]
Cs3Ni5F12 | PBE+U | optimized geometry

Summary:
DFT total energy, eV per atom: -3.90
DOS(E_F), states/eV/f.u.: 20.3

abc: 12.035 12.035 12.035
angles: 109.47 109.47 109.47
Fractional positions:
Cs: 0.750 0.375 0.125
Cs: 0.875 0.750 0.125
Cs: 0.375 0.750 0.625
Cs: 0.250 0.125 0.375
Cs: 0.875 0.125 0.250
Cs: 0.375 0.625 0.250
Cs: 0.625 0.375 0.750
Cs: 0.125 0.875 0.750
Cs: 0.750 0.875 0.625
Cs: 0.625 0.250 0.375
Cs: 0.125 0.250 0.875
Cs: 0.250 0.625 0.875
Ni: 0.125 0.375 0.250
Ni: 0.000 0.500 0.000
Ni: 0.000 0.000 0.000
Ni: 0.375 0.250 0.125
Ni: 0.500 0.000 0.500
Ni: 0.500 0.500 0.000
Ni: 0.125 0.750 0.375
Ni: 0.750 0.125 0.875
Ni: 0.750 0.625 0.375
Ni: 0.375 0.125 0.750
Ni: 0.625 0.875 0.250
Ni: 0.500 0.500 0.500
Ni: 0.500 0.000 0.000
Ni: 0.000 0.000 0.500
Ni: 0.250 0.375 0.625
Ni: 0.250 0.875 0.125
Ni: 0.000 0.500 0.500
Ni: 0.875 0.250 0.625
Ni: 0.625 0.750 0.875
Ni: 0.875 0.625 0.750
F: 0.676 0.092 0.995
F: 0.319 0.495 0.403
F: 0.005 0.408 0.324
F: 0.495 0.176 0.092
F: 0.585 0.676 0.681
F: 0.005 0.597 0.181
F: 0.319 0.824 0.415
F: 0.097 0.915 0.092
F: 0.597 0.005 0.681
F: 0.676 0.585 0.181
F: 0.824 0.505 0.408
F: 0.819 0.903 0.995
F: 0.092 0.676 0.495
F: 0.408 0.403 0.085
F: 0.085 0.903 0.408
F: 0.415 0.092 0.597
F: 0.085 0.181 0.176
F: 0.505 0.681 0.097
F: 0.819 0.915 0.324
F: 0.092 0.415 0.097
F: 0.408 0.005 0.824
F: 0.597 0.592 0.415
F: 0.903 0.819 0.495
F: 0.824 0.319 0.915
F: 0.403 0.408 0.585
F: 0.097 0.181 0.505
F: 0.176 0.681 0.085
F: 0.181 0.085 0.676
F: 0.592 0.995 0.176
F: 0.908 0.585 0.903
F: 0.495 0.319 0.903
F: 0.585 0.908 0.403
F: 0.915 0.819 0.824
F: 0.915 0.097 0.592
F: 0.908 0.324 0.505
F: 0.181 0.097 0.005
F: 0.592 0.597 0.915
F: 0.403 0.995 0.319
F: 0.324 0.415 0.819
F: 0.176 0.495 0.592
F: 0.903 0.085 0.908
F: 0.681 0.176 0.585
F: 0.505 0.824 0.908
F: 0.995 0.403 0.819
F: 0.415 0.324 0.319
F: 0.995 0.592 0.676
F: 0.681 0.505 0.597
F: 0.324 0.908 0.005

=====

[12]
Cs2Ni3F8 | PBE+U | optimized geometry

Summary:
DFT total energy, eV per atom: -4.24
DOS(E_F), states/eV/f.u.: 0.0

abc: 6.339 5.461 7.651
angles: 106.45 114.47 90.00
Fractional positions:
Cs: 0.275 0.315 0.550
Cs: 0.725 0.685 0.450
Ni: 0.000 0.500 0.000
Ni: 0.745 0.000 0.000
Ni: 0.255 0.000 0.000
F: 0.590 0.974 0.180
F: 0.410 0.026 0.820
F: 0.081 0.896 0.161
F: 0.919 0.104 0.839
F: 0.139 0.625 0.842
F: 0.703 0.625 0.842
F: 0.297 0.375 0.158
F: 0.861 0.375 0.158

=====

[13]
Cs7Ni4F15 | PBE+U | optimized geometry

Summary:
DFT total energy, eV per atom: -4.22
DOS(E_F), states/eV/f.u.: 0.0

abc: 7.947 11.037 11.633
angles: 90.00 92.32 90.00
Fractional positions:
Cs: 0.497 0.681 0.530
Cs: 0.503 0.319 0.470
Cs: 0.497 0.819 0.030
Cs: 0.837 0.346 0.197
Cs: 0.330 0.996 0.666
Cs: 0.163 0.654 0.803
Cs: 0.670 0.004 0.334
Cs: 0.000 0.000 0.000
Cs: 0.837 0.154 0.697
Cs: 0.670 0.496 0.834
Cs: 0.503 0.181 0.970
Cs: 0.000 0.500 0.500
Cs: 0.163 0.846 0.303
Cs: 0.330 0.504 0.166
Ni: 0.258 0.173 0.229
Ni: 0.077 0.338 0.930
Ni: 0.923 0.838 0.570
Ni: 0.742 0.827 0.771
Ni: 0.077 0.162 0.430
Ni: 0.923 0.662 0.070
Ni: 0.258 0.327 0.729
Ni: 0.742 0.673 0.271
F: 0.670 0.529 0.359
F: 0.171 0.191 0.836
F: 0.670 0.971 0.859
F: 0.689 0.593 0.107
F: 0.148 0.765 0.554
F: 0.311 0.407 0.893
F: 0.829 0.691 0.664
F: 0.977 0.603 0.239
F: 0.485 0.251 0.720
F: 0.977 0.897 0.739
F: 0.829 0.809 0.164
F: 0.311 0.093 0.393
F: 0.168 0.266 0.083
F: 0.023 0.397 0.761
F: 0.515 0.751 0.780
F: 0.832 0.766 0.417
F: 0.023 0.103 0.261
F: 0.832 0.734 0.917
F: 0.330 0.029 0.141
F: 0.689 0.907 0.607
F: 0.148 0.735 0.054
F: 0.852 0.235 0.446
F: 0.171 0.309 0.336
F: 0.852 0.265 0.946
F: 0.515 0.749 0.280
F: 0.330 0.471 0.641
F: 0.485 0.249 0.220
F: 0.168 0.234 0.583
F: 0.000 0.000 0.500
F: 0.000 0.500 0.000

=====

[14]
Cs2NiOF6 | PBE+U | optimized geometry

Summary:
DFT total energy, eV per atom: -3.71
DOS(E_F), states/eV/f.u.: 0.0

abc: 6.261 6.261 6.496
angles: 61.19 61.19 90.00
Fractional positions:
Cs: 0.750 0.250 0.500
Cs: 0.250 0.750 0.500
Ni: 0.000 0.000 0.000
O: 0.500 0.500 0.000
F: 0.190 0.190 0.620
F: 0.810 0.810 0.380
F: 0.204 0.204 0.000
F: 0.796 0.796 0.000
F: 0.796 0.204 0.000
F: 0.204 0.796 0.000

=====

[15]
Cs2NiOsF6 | PBE+U | optimized geometry

Summary:
DFT total energy, eV per atom: -4.52
DOS(E_F), states/eV/f.u.: 14.4

abc: 5.941 5.941 6.524
angles: 62.92 62.92 90.00
Fractional positions:
Cs: 0.750 0.250 0.500
Cs: 0.250 0.750 0.500
Ni: 0.500 0.500 0.000
Os: 0.000 0.000 0.000
F: 0.203 0.203 0.594
F: 0.797 0.797 0.406
F: 0.248 0.248 0.000
F: 0.752 0.752 0.000
F: 0.752 0.248 0.000
F: 0.248 0.752 0.000

=====

[16]
CsNiPb2F8 | PBE+U | optimized geometry

Summary:
DFT total energy, eV per atom: -4.38

abc: 5.408 5.527 7.658
angles: 69.18 93.77 95.73
Fractional positions:
Cs: 0.000 0.000 0.500
Ni: 0.000 0.000 0.000
Pb: 0.525 0.385 0.774
Pb: 0.475 0.615 0.226
F: 0.050 0.678 0.234
F: 0.789 0.799 0.901
F: 0.727 0.067 0.107
F: 0.950 0.322 0.766
F: 0.211 0.201 0.099
F: 0.273 0.933 0.893
F: 0.492 0.746 0.480
F: 0.508 0.254 0.520